A plane-wave DFT calculation with PBE was carried out for a geometry-optimized CeInAg structure.

```
data_CeInAg
_chemical_formula_sum 'Ce2 In2 Ag2'
_cell_length_a 3.383
_cell_length_b 3.383
_cell_length_c 12.501
_cell_angle_alpha 90.00
_cell_angle_beta 90.00
_cell_angle_gamma 90.00
_symmetry_space_group_name_H-M 'P 1'
_symmetry_Int_Tables_number 1
_symmetry_space_group_name_Hall 'P 1'
loop_
_atom_site_label
_atom_site_type_symbol
_atom_site_fract_x
_atom_site_fract_y
_atom_site_fract_z
_atom_site_occupancy
Ce1 Ce 0.000 0.000 0.000 1
Ce2 Ce 0.500 0.500 0.500 1
In1 In 0.000 0.000 0.311 1
In2 In 0.500 0.500 0.811 1
Ag1 Ag 0.000 0.000 0.673 1
Ag2 Ag 0.500 0.500 0.173 1
```

## Properties
The formation energy from the elements comes out at -0.56 eV/f.u. The crystal system is tetragonal.


A plane-wave DFT calculation with PBE was carried out for a geometry-optimized BeCdIn3 structure.

```
data_BeCdIn3
_chemical_formula_sum 'Be1 Cd1 In3'
_cell_length_a 5.502
_cell_length_b 5.502
_cell_length_c 5.502
_cell_angle_alpha 90.00
_cell_angle_beta 90.00
_cell_angle_gamma 90.00
_symmetry_space_group_name_H-M 'P 1'
_symmetry_Int_Tables_number 1
_symmetry_space_group_name_Hall 'P 1'
loop_
_atom_site_label
_atom_site_type_symbol
_atom_site_fract_x
_atom_site_fract_y
_atom_site_fract_z
_atom_site_occupancy
Be1 Be 0.000 0.000 0.000 1
Cd1 Cd 0.500 0.500 0.500 1
In1 In 0.000 0.500 0.500 1
In2 In 0.500 0.000 0.500 1
In3 In 0.500 0.500 0.000 1
```

## Properties
The formation energy from the elements comes out at 4.50 eV/f.u. The value obtained for the polymorph energy (0 for the lowest one) is 0.629 eV/atom. The crystal system is cubic.


A plane-wave DFT calculation with PBE was carried out for a geometry-optimized ZnCrTcH2 structure.

```
data_ZnCrTcH2
_chemical_formula_sum 'Zn1 Cr1 Tc1 H2'
_cell_length_a 3.551
_cell_length_b 3.551
_cell_length_c 4.731
_cell_angle_alpha 90.00
_cell_angle_beta 90.00
_cell_angle_gamma 90.00
_symmetry_space_group_name_H-M 'P 1'
_symmetry_Int_Tables_number 1
_symmetry_space_group_name_Hall 'P 1'
loop_
_atom_site_label
_atom_site_type_symbol
_atom_site_fract_x
_atom_site_fract_y
_atom_site_fract_z
_atom_site_occupancy
Zn1 Zn 0.000 0.000 0.000 1
Cr1 Cr 0.500 0.500 0.500 1
Tc1 Tc 0.500 0.500 0.000 1
H1 H 0.000 0.500 0.500 1
H2 H 0.500 0.000 0.500 1
```

## Properties
The energy comes out at -4.921 eV per atom. The crystal system is tetragonal.


no.,spin magnetization (μB per atom)
1,0.184
2,0.000
3,0.279